Entry 1:
Li4ScRu: relaxed, PBE.

Computed properties:
Total DFT energy (no corrections) = -3.710 eV/atom
Energy of formation from the pure elements = 0.17 eV per atom
Magnetization = 0.00 μB/f.u.

POSCAR file:
```
Li4ScRu
1.0
0.0000 3.5541 3.5541
3.5541 0.0000 3.5541
3.5541 3.5541 0.0000
Li Sc Ru
4 1 1
Direct
0.1220 0.1220 0.1220
0.1220 0.1220 0.6340
0.1220 0.6340 0.1220
0.6340 0.1220 0.1220
0.5000 0.5000 0.5000
0.7500 0.7500 0.7500
```


Entry 2:
CsInSe2: relaxed, PBE.

Computed properties:
Total DFT energy (no corrections) = -3.555 eV/atom
Magnetization = 0.00 μB/f.u.

POSCAR file:
```
CsInSe2
1.0
7.7852 0.0000 0.0000
0.0000 13.4082 0.0000
-0.4704 0.0000 6.7871
Cs In Se
4 4 8
Direct
0.0000 0.1775 0.0000
0.0000 0.8225 0.5000
0.5000 0.3225 0.5000
0.5000 0.6775 0.0000
0.1143 0.4979 0.7129
0.1143 0.5021 0.2129
0.6143 0.0021 0.2129
0.6143 0.9979 0.7129
0.3078 0.3990 0.9813
0.3078 0.6010 0.4813
0.4553 0.1167 0.9466
0.4553 0.8833 0.4466
0.8078 0.1010 0.4813
0.8078 0.8990 0.9813
0.9553 0.3833 0.4466
0.9553 0.6167 0.9466
```


Entry 3:
BaNdC2O6: relaxed, PBE.

Computed properties:
Total DFT energy (no corrections) = -7.589 eV/atom
Magnetization = 0.00 μB/f.u.

POSCAR file:
```
BaNdC2O6
1.0
4.2133 -5.1045 0.0000
4.2133 5.1045 0.0000
-2.5041 0.0000 6.6740
Ba Nd C O
2 2 4 12
Direct
0.1418 0.8582 0.7500
0.8582 0.1418 0.2500
0.4100 0.5900 0.2500
0.5900 0.4100 0.7500
0.1255 0.3624 0.7388
0.3624 0.1255 0.2388
0.6376 0.8745 0.7612
0.8745 0.6376 0.2612
0.0675 0.6111 0.3086
0.1900 0.2250 0.6144
0.2250 0.1900 0.1144
0.2792 0.5089 0.8860
0.3889 0.9325 0.1914
0.4911 0.7208 0.6140
0.5089 0.2792 0.3860
0.6111 0.0675 0.8086
0.7208 0.4911 0.1140
0.7750 0.8100 0.8856
0.8100 0.7750 0.3856
0.9325 0.3889 0.6914
```


Entry 4:
CsZnGa2Pd: relaxed, PBE.

Computed properties:
Total DFT energy (no corrections) = -2.804 eV/atom
Energy of formation from the pure elements = -0.13 eV per atom
Magnetization = 0.00 μB/f.u.

POSCAR file:
```
CsZnGa2Pd
1.0
5.0041 0.0000 0.0000
0.0000 5.0041 0.0000
0.0000 0.0000 5.1482
Cs Zn Ga Pd
1 1 2 1
Direct
0.0000 0.0000 0.0000
0.5000 0.5000 0.0000
0.0000 0.5000 0.5000
0.5000 0.0000 0.5000
0.5000 0.5000 0.5000
```


Record order is preserved below.
D(E_F): 4.58 0.00 3.06 2.72 states/eV/f.u.